Computed, not measured: a relaxed LiAcF6 crystal at the PBE level of DFT.

Lattice parameters (Å, degrees): 5.0363 5.0363 4.3064 94.36 94.36 99.48
Closest atoms and distances in Å follow each position.
Positions (direct):
Li: 0.0000 0.0000 0.0000  6 F 1.95-2.02
Ac: 0.5000 0.5000 0.5000  8 F 2.52-2.64
F: 0.0947 0.7295 0.6746  1 F 1.99, 1 Li 2.02
F: 0.2705 0.9053 0.3254  1 F 1.99, 1 Li 2.02
F: 0.2958 0.2958 0.9611  1 Li 1.95
F: 0.7042 0.7042 0.0389  1 Li 1.95
F: 0.7295 0.0947 0.6746  1 F 1.99, 1 Li 2.02
F: 0.9053 0.2705 0.3254  1 F 1.99, 1 Li 2.02

The uncorrected formation energy is -2755 meV per atom. The space-group type is C2/m. For the volume, the calculation gives 106.99 Å³/cell. Its total energy is -4.91 eV/atom. The crystal system is monoclinic.